An optimized crystal structure of Cs2NaCrO4. Source: Alexandria via LeMat-Bulk, functional PBE+U. Values from VASP.

Geometry as Quantum ESPRESSO input:
```
&SYSTEM
  ibrav = 0, nat = 16, ntyp = 4
/
ATOMIC_SPECIES
Cs 132.91 Cs.upf
Na 22.99 Na.upf
O 16.00 O.upf
Cr 52.00 Cr.upf
CELL_PARAMETERS angstrom
5.5071 0.0000 0.0000
2.7535 6.1826 0.0000
2.7535 0.0000 11.1584
ATOMIC_POSITIONS angstrom
Cs 6.8839 3.0913 1.6262
Cs 2.7535 0.0000 7.2053
Cs 5.5071 0.0000 3.9530
Cs 6.8839 3.0913 9.5322
Na 0.0000 0.0000 0.0000
Na 6.8839 3.0913 5.5792
O 9.2753 5.1355 10.2137
O 5.1450 4.1384 4.6345
O 4.4924 5.1355 0.9446
O 5.1450 2.0442 6.5238
O 3.1156 2.0442 4.6345
O 8.6227 4.1384 6.5238
O 3.7682 1.0471 0.9446
O 4.4924 1.0471 10.2137
Cr 4.1303 3.0913 5.5792
Cr 2.7535 0.0000 0.0000
```

Calculated values
**Final energy**: -5.3173 eV/atom
**SG**: Fddd
**V**: 23.75 A^3/atom